(1)
DFT (PBE) results for an optimized crystal structure of La2YScC.

Computed properties:
Energy relative to the elements, eV/f.u.: 0.3
Space group: P4/mmm, No. 123
Electronic total energy, eV/cell: -31.61
M_tot, μB per formula unit: 0.3

a = 5.4275 Å, b = 5.4275 Å, c = 4.5939 Å
α = 90.00°, β = 90.00°, γ = 90.00°
With the nearest neighbours (Å) after each atom.
Sites, in units of the cell vectors:
La: 0.0000 0.5000 0.0000  2 C 2.71
La: 0.5000 0.0000 0.0000  2 C 2.71
Y: 0.0000 0.0000 0.5000  8 La 3.56, 4 Sc 3.84
Sc: 0.5000 0.5000 0.5000  2 C 2.30
C: 0.5000 0.5000 0.0000  2 Sc 2.30


(2)
DFT (PBE) results for an optimized crystal structure of LaScZn2C.

Computed properties:
Energy relative to the elements, eV/f.u.: 1.5
Space group: P4/mmm, No. 123
Electronic total energy, eV/cell: -21.49
M_tot, μB per formula unit: 0.0

a = 4.6143 Å, b = 4.6143 Å, c = 4.5139 Å
α = 90.00°, β = 90.00°, γ = 90.00°
With the nearest neighbours (Å) after each atom.
Sites, in units of the cell vectors:
La: 0.0000 0.0000 0.0000  8 Zn 3.23, 4 Sc 3.26
Sc: 0.5000 0.5000 0.0000  2 C 2.26
Zn: 0.0000 0.5000 0.5000  2 C 2.31
Zn: 0.5000 0.0000 0.5000  2 C 2.31
C: 0.5000 0.5000 0.5000  2 Sc 2.26, 4 Zn 2.31


(3)
DFT (PBE) results for an optimized crystal structure of La2ScZnC.

Computed properties:
Energy relative to the elements, eV/f.u.: -0.9
Space group: P4/mmm, No. 123
Electronic total energy, eV/cell: -27.63
M_tot, μB per formula unit: 0.0

a = 5.3037 Å, b = 5.3037 Å, c = 4.4423 Å
α = 90.00°, β = 90.00°, γ = 90.00°
With the nearest neighbours (Å) after each atom.
Sites, in units of the cell vectors:
La: 0.0000 0.5000 0.0000  2 C 2.65
La: 0.5000 0.0000 0.0000  2 C 2.65
Sc: 0.0000 0.0000 0.5000  2 C 2.22
Zn: 0.5000 0.5000 0.5000  8 La 3.46, 4 Sc 3.75
C: 0.0000 0.0000 0.0000  2 Sc 2.22


(4)
DFT (PBE) results for an optimized crystal structure of LaSc2ZnC.

Computed properties:
Energy relative to the elements, eV/f.u.: -1.2
Space group: P4/mmm, No. 123
Electronic total energy, eV/cell: -29.31
M_tot, μB per formula unit: 0.0

a = 4.5619 Å, b = 4.5619 Å, c = 5.2043 Å
α = 90.00°, β = 90.00°, γ = 90.00°
With the nearest neighbours (Å) after each atom.
Sites, in units of the cell vectors:
La: 0.0000 0.0000 0.0000  2 C 2.60
Sc: 0.0000 0.5000 0.5000  2 C 2.28
Sc: 0.5000 0.0000 0.5000  2 C 2.28
Zn: 0.5000 0.5000 0.0000  4 La 3.23, 8 Sc 3.46
C: 0.0000 0.0000 0.5000  4 Sc 2.28


(5)
DFT (PBE) results for an optimized crystal structure of La2CSe.

Computed properties:
Formation energy (no corrections), eV/atom: -0.902
Space group: I-42d, No. 122
Electronic total energy, eV/cell: -52.34
M_tot, μB per formula unit: 0.0

a = 6.5584 Å, b = 6.5584 Å, c = 6.5584 Å
α = 113.83°, β = 113.83°, γ = 101.07°
With the nearest neighbours (Å) after each atom.
Sites, in units of the cell vectors:
La: 0.0583 0.6250 0.9333  2 C 2.45
La: 0.3750 0.3083 0.4333  2 C 2.45
La: 0.6917 0.1250 0.0667  2 C 2.45
La: 0.8750 0.9417 0.5667  2 C 2.45
C: 0.0000 0.0000 0.0000  4 La 2.45
C: 0.7500 0.2500 0.5000  4 La 2.45
Se: 0.2500 0.7500 0.5000  4 La 3.07
Se: 0.5000 0.5000 0.0000  4 La 3.07


(6)
DFT (PBE) results for an optimized crystal structure of LaCSe3.

Computed properties:
Formation energy (no corrections), eV/atom: 1.166
Space group: Pm-3m, No. 221
Electronic total energy, eV/cell: -18.77
E above lowest polymorph, meV per atom: 1258
M_tot, μB per formula unit: 1.0

a = 5.8702 Å, b = 5.8702 Å, c = 5.8702 Å
α = 90.00°, β = 90.00°, γ = 90.00°
With the nearest neighbours (Å) after each atom.
Sites, in units of the cell vectors:
La: 0.0000 0.0000 0.0000  6 Se 2.94
C: 0.5000 0.5000 0.5000  12 Se 4.15
Se: 0.0000 0.0000 0.5000  2 La 2.94
Se: 0.0000 0.5000 0.0000  2 La 2.94
Se: 0.5000 0.0000 0.0000  2 La 2.94


(7)
DFT (PBE) results for an optimized crystal structure of La2CSe.

Computed properties:
Formation energy (no corrections), eV/atom: -0.608
Space group: P2_1/m, No. 11
Electronic total energy, eV/cell: -49.99
M_tot, μB per formula unit: 0.0

a = 7.3391 Å, b = 3.9536 Å, c = 8.0430 Å
α = 90.00°, β = 117.10°, γ = 90.00°
With the nearest neighbours (Å) after each atom.
Sites, in units of the cell vectors:
La: 0.1070 0.2500 0.2816  2 C 2.59
La: 0.3258 0.7500 0.7185  2 C 2.59
La: 0.6742 0.2500 0.2815  2 C 2.59
La: 0.8930 0.7500 0.7184  2 C 2.59
C: 0.0710 0.2500 0.6417  4 La 2.59, 2 C 2.83
C: 0.9290 0.7500 0.3583  4 La 2.59, 2 C 2.83
Se: 0.2964 0.7500 0.0929  6 La 3.12-3.17
Se: 0.7036 0.2500 0.9071  6 La 3.12-3.17


(8)
DFT (PBE) results for an optimized crystal structure of La2CSe.

Computed properties:
Formation energy (no corrections), eV/atom: -0.372
Space group: Fm-3m, No. 225
Electronic total energy, eV/cell: -24.05
M_tot, μB per formula unit: 0.0

a = 4.9942 Å, b = 4.9942 Å, c = 4.9942 Å
α = 60.00°, β = 60.00°, γ = 60.00°
With the nearest neighbours (Å) after each atom.
Sites, in units of the cell vectors:
La: 0.2500 0.2500 0.2500  4 Se 3.06, 4 C 3.06
La: 0.7500 0.7500 0.7500  4 Se 3.06, 4 C 3.06
C: 0.0000 0.0000 0.0000  8 La 3.06
Se: 0.5000 0.5000 0.5000  8 La 3.06


(9)
DFT (PBE) results for an optimized crystal structure of La2C2Se.

Computed properties:
Formation energy (no corrections), eV/atom: -0.944
Space group: C2/c, No. 15
Electronic total energy, eV/cell: -73.01
M_tot, μB per formula unit: 0.0

a = 7.5299 Å, b = 7.5299 Å, c = 7.1936 Å
α = 101.40°, β = 101.40°, γ = 33.31°
With the nearest neighbours (Å) after each atom.
Sites, in units of the cell vectors:
La: 0.0634 0.6565 0.8574  2 C 2.48-2.72
La: 0.3435 0.9366 0.6426  2 C 2.48-2.72
La: 0.6565 0.0634 0.3574  2 C 2.48-2.72
La: 0.9366 0.3435 0.1426  2 C 2.48-2.72
C: 0.1401 0.4033 0.4706  1 C 1.31
C: 0.4033 0.1401 0.9706  1 C 1.31
C: 0.5967 0.8599 0.0294  1 C 1.31
C: 0.8599 0.5967 0.5294  1 C 1.31
Se: 0.2876 0.7124 0.2500  6 La 3.13-3.19
Se: 0.7124 0.2876 0.7500  6 La 3.13-3.19


(10)
DFT (PBE) results for an optimized crystal structure of LaCSe3.

Computed properties:
Formation energy (no corrections), eV/atom: -0.092
Space group: Pm-3m, No. 221
Electronic total energy, eV/cell: -25.06
E above lowest polymorph, meV per atom: 0
M_tot, μB per formula unit: 0.0

a = 4.6287 Å, b = 4.6287 Å, c = 4.6287 Å
α = 90.00°, β = 90.00°, γ = 90.00°
With the nearest neighbours (Å) after each atom.
Sites, in units of the cell vectors:
La: 0.0000 0.0000 0.0000  12 Se 3.27
C: 0.5000 0.5000 0.5000  6 Se 2.31
Se: 0.0000 0.5000 0.5000  2 C 2.31
Se: 0.5000 0.0000 0.5000  2 C 2.31
Se: 0.5000 0.5000 0.0000  2 C 2.31


(11)
DFT (PBE) results for an optimized crystal structure of La2CSe.

Computed properties:
Formation energy (no corrections), eV/atom: -1.005
Space group: R-3m, No. 166
Electronic total energy, eV/cell: -26.58
M_tot, μB per formula unit: 0.0

a = 7.3952 Å, b = 7.3952 Å, c = 7.3952 Å
α = 31.69°, β = 31.69°, γ = 31.69°
With the nearest neighbours (Å) after each atom.
Sites, in units of the cell vectors:
La: 0.2359 0.2359 0.2359  3 C 2.75
La: 0.7641 0.7641 0.7641  3 C 2.75
C: 0.5000 0.5000 0.5000  6 La 2.75
Se: 0.0000 0.0000 0.0000  6 La 3.11


(12)
DFT (PBE) results for an optimized crystal structure of La4CSe2.

Computed properties:
Formation energy (no corrections), eV/atom: -0.890
Space group: I4/mmm, No. 139
Electronic total energy, eV/cell: -42.13
M_tot, μB per formula unit: 0.0

a = 8.4502 Å, b = 8.4502 Å, c = 8.4502 Å
α = 144.82°, β = 144.82°, γ = 50.60°
With the nearest neighbours (Å) after each atom.
Sites, in units of the cell vectors:
La: 0.0000 0.5000 0.5000  2 C 2.55
La: 0.1676 0.1676 0.0000  1 C 2.56
La: 0.5000 0.0000 0.5000  2 C 2.55
La: 0.8324 0.8324 0.0000  1 C 2.56
C: 0.0000 0.0000 0.0000  6 La 2.55-2.56
Se: 0.3688 0.3688 0.0000  5 La 3.08-3.25
Se: 0.6312 0.6312 0.0000  5 La 3.08-3.25


What is the electronic total energy in the third record?
-27.63 eV/cell


Number 3 is which compound?
La2ScZnC